First-principles (PBE) data for a relaxed structure of KV2InAu, as listed in Alexandria.

a b c (Å): 5.124 5.124 5.552
angles (deg): 90.00 90.00 90.00
Positions (direct):
K1 0.000 0.000 0.000
V1 0.000 0.500 0.000
V2 0.500 0.000 0.000
In1 0.000 0.000 0.500
Au1 0.500 0.500 0.500

electronic total energy: -2.941 eV/atom